First-principles (GGA-PBE) data for AgIrN2F after structural relaxation, as listed in the Alexandria database.

Calculated values
- spin magnetization (Bohr magnetons per cell) = 0.3
- crystal system = tetragonal
- E above lowest polymorph (eV per atom) = 0.000
- calculated total energy (eV per atom) = -5.545
- density of states at the Fermi level (states/eV/atom) = 0.67
- SG = No. 123

Cell lengths 3.7439, 3.7439, 5.1792 Å; angles 90.00, 90.00, 90.00 degrees
Each line ends with the local moment (μB).
Fractional coordinates of all 5 atoms:
Ag: 0.5000 0.5000 0.5000  0.00
N: 0.5000 0.0000 0.0000  0.10
N: 0.0000 0.5000 0.0000  0.10
Ir: 0.0000 0.0000 0.0000  0.01
F: 0.0000 0.0000 0.5000  0.00